First-principles (PBE) data for a relaxed AgBiPtSe3 crystal, as listed in OQMD via LeMat-Bulk.

Output
Calculated density (Mg/m³): 8.26
Symmetry: P2_12_12_1
Final energy (eV per atom): -4.180

Lattice parameters (Å, degrees): 5.0958 8.3948 14.0700 90.00 90.00 90.00
Sites, in units of the cell vectors:
1 Ag 0.0518 0.0915 0.4548
2 Ag 0.4482 0.9085 0.9548
3 Ag 0.5518 0.4085 0.5452
4 Ag 0.9482 0.5915 0.0452
5 Bi 0.0992 0.1223 0.1441
6 Bi 0.4008 0.8777 0.6441
7 Bi 0.5992 0.3777 0.8559
8 Bi 0.9008 0.6223 0.3559
9 Pt 0.0161 0.6447 0.7458
10 Pt 0.4839 0.3553 0.2458
11 Pt 0.5161 0.8553 0.2542
12 Pt 0.9839 0.1447 0.7542
13 Se 0.2049 0.1673 0.9118
14 Se 0.2313 0.3893 0.7033
15 Se 0.2489 0.6330 0.8990
16 Se 0.2511 0.3670 0.3990
17 Se 0.2687 0.6107 0.2033
18 Se 0.2951 0.8327 0.4118
19 Se 0.7049 0.3327 0.0882
20 Se 0.7313 0.1107 0.2967
21 Se 0.7489 0.8670 0.1010
22 Se 0.7511 0.1330 0.6010
23 Se 0.7687 0.8893 0.7967
24 Se 0.7951 0.6673 0.5882


First-principles (PBE) data for a relaxed Tb3NbCl crystal, as listed in OQMD via LeMat-Bulk.

Output
Calculated density (Mg/m³): 7.51
Symmetry: Pm-3m
Final energy (eV per atom): -5.195

Lattice parameters (Å, degrees): 5.1149 5.1149 5.1149 90.00 90.00 90.00
Sites, in units of the cell vectors:
1 Tb 0.0000 0.0000 0.5000
2 Tb 0.0000 0.5000 0.0000
3 Tb 0.5000 0.0000 0.0000
4 Nb 0.5000 0.5000 0.5000
5 Cl 0.0000 0.0000 0.0000


Which formula does entry 1 have?
AgBiPtSe3